1.
Computed, not measured: a relaxed Ho4InOs crystal at the PBE-GGA level of DFT.

a b c (Å): 4.9929 4.9996 8.5868
angles (deg): 73.07 73.10 60.04
Fractional positions:
In1 0.5000 0.5000 0.5000
Ho1 0.6352 0.6355 0.0941
Ho2 0.3648 0.3645 0.9059
Ho3 0.1135 0.1125 0.6604
Ho4 0.8865 0.8875 0.3396
Os1 0.0000 0.0000 0.0000

Computed properties:
The calculated volume comes out at 29.2 Å³/atom. As for the magnetic moment: 0.0 μB/f.u. As for the energy above the most stable polymorph in this dataset: 161.2 meV/atom. For the formation energy, the calculation gives -191 meV per atom. The calculated density is 9.16 g/cm³.

2.
Computed, not measured: a relaxed Pr4NdSm crystal at the PBE-GGA level of DFT.

a b c (Å): 8.2643 8.2643 5.2229
angles (deg): 89.99 89.99 37.00
Fractional positions:
Nd1 0.5000 0.5000 0.5000
Pr1 0.8342 0.8342 0.4999
Pr2 0.6660 0.6660 0.9999
Pr3 0.1658 0.1658 0.5001
Pr4 0.3340 0.3340 0.0001
Sm1 0.0000 0.0000 0.0000

Computed properties:
The calculated volume comes out at 35.8 Å³/atom. As for the magnetic moment: 0.0 μB/f.u. As for the energy above the most stable polymorph in this dataset: 0.0 meV/atom. For the formation energy, the calculation gives 14 meV per atom. The calculated density is 6.64 g/cm³.

3.
Computed, not measured: a relaxed HfZnTc3 crystal at the PBE-GGA level of DFT.

a b c (Å): 4.5039 4.5039 4.5039
angles (deg): 90.00 90.00 90.00
Last column: magnetic moment on the atom in μB.
Fractional positions:
Tc1 0.0000 0.0000 0.5000  0.35
Tc2 0.0000 0.5000 0.0000  0.38
Tc3 0.5000 0.0000 0.0000  0.21
Zn1 0.0000 0.0000 0.0000  0.01
Hf1 0.5000 0.5000 0.5000  0.03

Computed properties:
The calculated volume comes out at 18.3 Å³/atom. As for the magnetic moment: 1.1 μB/f.u. As for the energy above the most stable polymorph in this dataset: 0.0 meV/atom. For the formation energy, the calculation gives 1189 meV per atom. The calculated density is 9.78 g/cm³.

4.
Computed, not measured: a relaxed V3Pd7 crystal at the PBE-GGA level of DFT.

a b c (Å): 3.9105 5.5019 7.2889
angles (deg): 101.16 105.56 90.00
Last column: magnetic moment on the atom in μB.
Fractional positions:
V1 0.2000 0.6075 0.4001  1.38
V2 0.8000 0.3925 0.5999  1.38
V3 0.0000 0.0000 0.0000  1.26
Pd1 0.6049 0.3116 0.2098  0.02
Pd2 0.7990 0.8880 0.5980  -0.02
Pd3 0.0000 0.5000 0.0000  0.00
Pd4 0.4032 0.1941 0.8064  0.01
Pd5 0.3951 0.6884 0.7902  0.02
Pd6 0.5968 0.8059 0.1936  0.01
Pd7 0.2010 0.1120 0.4020  -0.02

Computed properties:
The calculated volume comes out at 14.8 Å³/atom. As for the magnetic moment: 4.5 μB/f.u. For the formation energy, the calculation gives -214 meV per atom. The calculated density is 10.07 g/cm³.

5.
Computed, not measured: a relaxed TbPuSc2 crystal at the PBE-GGA level of DFT.

a b c (Å): 4.4885 4.8717 4.8717
angles (deg): 90.00 90.00 90.00
Last column: magnetic moment on the atom in μB.
Fractional positions:
Sc1 0.0000 0.0000 0.5000  0.09
Sc2 0.0000 0.5000 0.0000  0.09
Tb1 0.5000 0.0000 0.0000  0.02
Pu1 0.5000 0.5000 0.5000  5.38

Computed properties:
The calculated volume comes out at 26.6 Å³/atom. As for the magnetic moment: 6.0 μB/f.u. As for the energy above the most stable polymorph in this dataset: 41.2 meV/atom. For the formation energy, the calculation gives 142 meV per atom. The calculated density is 7.68 g/cm³.